Entry 1:
A geometry-optimized MnIF2 structure, computed with GGA+U.

Cell: 9.9827 9.9827 9.9827 Å, 19.61 19.61 19.61°
Closest atoms and distances in Å follow each position.
Atoms (fractional coordinates):
Mn 0.0000 0.0000 0.0000  2 F 1.81
I 0.5000 0.5000 0.5000  6 I 3.40, 6 F 3.66
F 0.0616 0.0616 0.0616  1 Mn 1.81
F 0.9384 0.9384 0.9384  1 Mn 1.81

=====

Entry 2:
A geometry-optimized MnI2F structure, computed with GGA+U.

Cell: 3.7154 3.7154 9.5240 Å, 101.20 101.20 61.18°
Closest atoms and distances in Å follow each position.
Atoms (fractional coordinates):
Mn 0.0000 0.0000 0.0000  3 F 2.18-2.20
I 0.1054 0.1054 0.3284  1 Mn 3.05, 2 F 3.41
I 0.5917 0.5917 0.7693  3 Mn 3.01-3.05, 3 F 3.32-3.34
F 0.3494 0.3494 0.0429  3 Mn 2.18-2.20

=====

Entry 3:
A geometry-optimized MnIF3 structure, computed with GGA+U.

Cell: 4.3250 4.3250 4.3250 Å, 90.00 90.00 90.00°
Closest atoms and distances in Å follow each position.
Atoms (fractional coordinates):
Mn 0.0000 0.0000 0.0000  6 F 2.16
I 0.5000 0.5000 0.5000  12 F 3.06
F 0.0000 0.0000 0.5000  2 Mn 2.16
F 0.0000 0.5000 0.0000  2 Mn 2.16
F 0.5000 0.0000 0.0000  2 Mn 2.16

=====

Entry 4:
A geometry-optimized MnIF2 structure, computed with GGA+U.

Cell: 9.7522 9.7522 9.7522 Å, 19.86 19.86 19.86°
Closest atoms and distances in Å follow each position.
Atoms (fractional coordinates):
Mn 0.0000 0.0000 0.0000  6 F 2.17
I 0.5000 0.5000 0.5000  6 I 3.36
F 0.3669 0.3669 0.3669  3 Mn 2.17
F 0.6331 0.6331 0.6331  3 Mn 2.17

=====

Number 1: polymorph energy (0 for the lowest one) 2.93 eV per formula unit, density 3.7 Mg/m³. Number 2: polymorph energy (0 for the lowest one) 0.00 eV per formula unit, density 4.8 Mg/m³. Number 3: polymorph energy (0 for the lowest one) 1.37 eV per formula unit, density 4.9 Mg/m³. Number 4: polymorph energy (0 for the lowest one) 0.00 eV per formula unit, density 3.9 Mg/m³.